First-principles (GGA-PBEsol) data for MnSb2TeF after structural relaxation, as listed in the Alexandria database.

```
MnSb2TeF
1.0
4.881 0.000 0.000
0.000 4.881 0.000
0.000 0.000 4.939
Mn Sb Te F
1 2 1 1
direct
0.000 0.000 0.000
0.000 0.500 0.000
0.500 0.000 0.000
0.000 0.000 0.500
0.500 0.500 0.500
```

Raw total energy (eV per atom): -4.8557
Crystal system: tetragonal
N(E_F) (states/eV/cell): 3.98

First-principles (GGA-PBEsol) data for Mn2SeF2 after structural relaxation, as listed in the Alexandria database.

```
Mn2SeF2
1.0
-1.764 1.764 5.549
1.764 -1.764 5.549
1.764 1.764 -5.549
Mn Se F
2 1 2
direct
0.133 0.133 0.000
0.867 0.867 0.000
0.500 0.500 0.000
0.250 0.750 0.500
0.750 0.250 0.500
```

Raw total energy (eV per atom): -6.7161
Crystal system: tetragonal
N(E_F) (states/eV/cell): 1.20

First-principles (GGA-PBEsol) data for MnSe2F after structural relaxation, as listed in the Alexandria database.

```
MnSe2F
1.0
1.427 0.824 8.824
-1.427 0.824 8.824
0.000 -1.648 8.824
Mn Se F
1 2 1
direct
0.000 0.000 0.000
0.091 0.091 0.091
0.909 0.909 0.909
0.500 0.500 0.500
```

Raw total energy (eV per atom): -4.7803
Crystal system: trigonal
N(E_F) (states/eV/cell): 3.19

First-principles (GGA-PBEsol) data for MnSn3F after structural relaxation, as listed in the Alexandria database.

```
MnSn3F
1.0
4.807 0.000 0.000
0.000 4.807 0.000
0.000 0.000 4.807
Mn Sn F
1 3 1
direct
0.000 0.000 0.000
0.000 0.000 0.500
0.000 0.500 0.000
0.500 0.000 0.000
0.500 0.500 0.500
```

Raw total energy (eV per atom): -5.3549
Crystal system: cubic

First-principles (GGA-PBEsol) data for Mn3SnF after structural relaxation, as listed in the Alexandria database.

```
Mn3SnF
1.0
5.109 0.000 0.000
0.000 5.109 0.000
0.000 0.000 5.109
Mn Sn F
3 1 1
direct
0.000 0.000 0.500
0.000 0.500 0.000
0.500 0.000 0.000
0.000 0.000 0.000
0.500 0.500 0.500
```

Raw total energy (eV per atom): -6.0942
Crystal system: cubic
N(E_F) (states/eV/cell): 4.04

First-principles (GGA-PBEsol) data for Sr3MnF after structural relaxation, as listed in the Alexandria database.

```
Sr3MnF
1.0
5.729 0.000 0.000
0.000 5.729 0.000
0.000 0.000 5.729
Sr Mn F
3 1 1
direct
0.000 0.000 0.500
0.000 0.500 0.000
0.500 0.000 0.000
0.000 0.000 0.000
0.500 0.500 0.500
```

Raw total energy (eV per atom): -3.3620
Crystal system: cubic
N(E_F) (states/eV/cell): 7.84

First-principles (GGA-PBEsol) data for Sr2MnF2 after structural relaxation, as listed in the Alexandria database.

```
Sr2MnF2
1.0
-1.994 1.994 7.331
1.994 -1.994 7.331
1.994 1.994 -7.331
Sr Mn F
2 1 2
direct
0.151 0.151 0.000
0.849 0.849 0.000
0.500 0.500 0.000
0.250 0.750 0.500
0.750 0.250 0.500
```

Raw total energy (eV per atom): -5.3331
Crystal system: tetragonal
N(E_F) (states/eV/cell): 5.31

First-principles (GGA-PBEsol) data for SrMnW2F after structural relaxation, as listed in the Alexandria database.

```
SrMnW2F
1.0
4.831 0.000 0.000
0.000 4.831 0.000
0.000 0.000 5.184
Sr Mn W F
1 1 2 1
direct
0.000 0.000 0.000
0.000 0.000 0.500
0.000 0.500 0.000
0.500 0.000 0.000
0.500 0.500 0.500
```

Raw total energy (eV per atom): -4.8281
Crystal system: tetragonal
N(E_F) (states/eV/cell): 6.06

First-principles (GGA-PBEsol) data for TaMn3F after structural relaxation, as listed in the Alexandria database.

```
TaMn3F
1.0
4.056 0.000 0.000
0.000 4.056 0.000
0.000 0.000 4.056
Ta Mn F
1 3 1
direct
0.000 0.000 0.000
0.000 0.500 0.500
0.500 0.000 0.500
0.500 0.500 0.000
0.500 0.500 0.500
```

Raw total energy (eV per atom): -8.4984
Crystal system: cubic
N(E_F) (states/eV/cell): 4.49

First-principles (GGA-PBEsol) data for MnTe2F after structural relaxation, as listed in the Alexandria database.

```
MnTe2F
1.0
1.945 1.123 7.326
-1.945 1.123 7.326
0.000 -2.246 7.326
Mn Te F
1 2 1
direct
0.000 0.000 0.000
0.396 0.396 0.396
0.604 0.604 0.604
0.500 0.500 0.500
```

Crystal system: trigonal
Relative energy among the computed polymorphs (kJ/mol of atoms): 0.0
N(E_F) (states/eV/cell): 1.81

First-principles (GGA-PBEsol) data for MnTe2F after structural relaxation, as listed in the Alexandria database.

```
MnTe2F
1.0
0.000 3.278 3.278
3.278 0.000 3.278
3.278 3.278 0.000
Mn Te F
1 2 1
direct
0.000 0.000 0.000
0.250 0.250 0.250
0.750 0.750 0.750
0.500 0.500 0.500
```

Crystal system: cubic
Relative energy among the computed polymorphs (kJ/mol of atoms): 5.9
N(E_F) (states/eV/cell): 1.38

First-principles (GGA-PBEsol) data for MnTlF2 after structural relaxation, as listed in the Alexandria database.

```
MnTlF2
1.0
1.620 0.935 7.833
-1.620 0.935 7.833
0.000 -1.870 7.833
Mn Tl F
1 1 2
direct
0.000 0.000 0.000
0.500 0.500 0.500
0.078 0.078 0.078
0.922 0.922 0.922
```

Raw total energy (eV per atom): -5.3949
Crystal system: trigonal
N(E_F) (states/eV/cell): 1.10

First-principles (GGA-PBEsol) data for Mn3WF after structural relaxation, as listed in the Alexandria database.

```
Mn3WF
1.0
4.610 0.000 0.000
0.000 4.610 0.000
0.000 0.000 4.610
Mn W F
3 1 1
direct
0.000 0.000 0.500
0.000 0.500 0.000
0.500 0.000 0.000
0.000 0.000 0.000
0.500 0.500 0.500
```

Raw total energy (eV per atom): -7.5668
Crystal system: cubic
N(E_F) (states/eV/cell): 3.39

First-principles (GGA-PBEsol) data for MnW2F after structural relaxation, as listed in the Alexandria database.

```
MnW2F
1.0
0.000 2.942 2.942
2.942 0.000 2.942
2.942 2.942 0.000
Mn W F
1 2 1
direct
0.000 0.000 0.000
0.250 0.250 0.250
0.750 0.750 0.750
0.500 0.500 0.500
```

Raw total energy (eV per atom): -9.5206
Crystal system: cubic
N(E_F) (states/eV/cell): 3.32

First-principles (GGA-PBEsol) data for MnW3F after structural relaxation, as listed in the Alexandria database.

```
MnW3F
1.0
4.144 0.000 0.000
0.000 4.144 0.000
0.000 0.000 4.144
Mn W F
1 3 1
direct
0.000 0.000 0.000
0.000 0.500 0.500
0.500 0.000 0.500
0.500 0.500 0.000
0.500 0.500 0.500
```

Raw total energy (eV per atom): -9.5450
Crystal system: cubic
N(E_F) (states/eV/cell): 5.31

First-principles (GGA-PBEsol) data for Y3MnF after structural relaxation, as listed in the Alexandria database.

```
Y3MnF
1.0
5.124 0.000 0.000
0.000 5.124 0.000
0.000 0.000 5.124
Y Mn F
3 1 1
direct
0.000 0.000 0.500
0.000 0.500 0.000
0.500 0.000 0.000
0.000 0.000 0.000
0.500 0.500 0.500
```

Raw total energy (eV per atom): -6.4708
Crystal system: cubic
N(E_F) (states/eV/cell): 4.73

First-principles (GGA-PBEsol) data for YMnF2 after structural relaxation, as listed in the Alexandria database.

```
YMnF2
1.0
0.000 3.035 3.035
3.035 0.000 3.035
3.035 3.035 0.000
Y Mn F
1 1 2
direct
0.000 0.000 0.000
0.500 0.500 0.500
0.250 0.250 0.250
0.750 0.750 0.750
```

Raw total energy (eV per atom): -6.5157
Crystal system: cubic
N(E_F) (states/eV/cell): 1.47

First-principles (GGA-PBEsol) data for MnZnF2 after structural relaxation, as listed in the Alexandria database.

```
MnZnF2
1.0
1.376 0.795 7.695
-1.376 0.795 7.695
0.000 -1.589 7.695
Mn Zn F
1 1 2
direct
0.000 0.000 0.000
0.500 0.500 0.500
0.078 0.078 0.078
0.922 0.922 0.922
```

Raw total energy (eV per atom): -4.9832
Crystal system: trigonal
N(E_F) (states/eV/cell): 1.07

First-principles (GGA-PBEsol) data for ZrMnF2 after structural relaxation, as listed in the Alexandria database.

```
ZrMnF2
1.0
0.000 2.951 2.951
2.951 0.000 2.951
2.951 2.951 0.000
Zr Mn F
1 1 2
direct
0.000 0.000 0.000
0.500 0.500 0.500
0.250 0.250 0.250
0.750 0.750 0.750
```

Raw total energy (eV per atom): -6.6517
Crystal system: cubic
N(E_F) (states/eV/cell): 2.26

First-principles (GGA-PBEsol) data for Zr3MnF after structural relaxation, as listed in the Alexandria database.

```
Zr3MnF
1.0
4.442 0.000 0.000
0.000 4.442 0.000
0.000 0.000 4.442
Zr Mn F
3 1 1
direct
0.000 0.000 0.500
0.000 0.500 0.000
0.500 0.000 0.000
0.500 0.500 0.500
0.000 0.000 0.000
```

Raw total energy (eV per atom): -8.2130
Crystal system: cubic
N(E_F) (states/eV/cell): 5.68

First-principles (GGA-PBEsol) data for MoF5 after structural relaxation, as listed in the Alexandria database.

```
MoF5
1.0
4.494 -2.963 0.000
4.494 2.963 0.000
-3.249 0.000 7.023
Mo F
2 10
direct
0.000 0.000 0.000
0.000 0.000 0.500
0.073 0.927 0.750
0.112 0.315 0.624
0.209 0.640 0.017
0.315 0.112 0.124
0.360 0.791 0.483
0.640 0.209 0.517
0.685 0.888 0.876
0.791 0.360 0.983
0.888 0.685 0.376
0.927 0.073 0.250
```

Crystal system: monoclinic
Relative energy among the computed polymorphs (kJ/mol of atoms): 3.2
N(E_F) (states/eV/cell): 3.73

First-principles (GGA-PBEsol) data for MoF6 after structural relaxation, as listed in the Alexandria database.

```
MoF6
1.0
9.636 0.000 0.000
0.000 8.724 0.000
0.000 0.000 5.024
Mo F
4 24
direct
0.128 0.250 0.076
0.372 0.750 0.576
0.628 0.250 0.424
0.872 0.750 0.924
0.013 0.250 0.786
0.021 0.102 0.233
0.021 0.398 0.233
0.235 0.101 0.920
0.235 0.399 0.920
0.244 0.250 0.366
0.256 0.750 0.866
0.265 0.601 0.420
0.265 0.899 0.420
0.479 0.602 0.733
0.479 0.898 0.733
0.487 0.750 0.286
0.513 0.250 0.714
0.521 0.102 0.267
0.521 0.398 0.267
0.735 0.101 0.580
0.735 0.399 0.580
0.744 0.250 0.134
0.756 0.750 0.634
0.765 0.601 0.080
0.765 0.899 0.080
0.979 0.602 0.767
0.979 0.898 0.767
0.987 0.750 0.214
```

Raw total energy (eV per atom): -5.8635
Crystal system: orthorhombic
N(E_F) (states/eV/cell): 0.00

First-principles (GGA-PBEsol) data for MoF4 after structural relaxation, as listed in the Alexandria database.

```
MoF4
1.0
4.910 0.000 0.000
-0.003 5.196 0.000
-1.372 -2.549 5.108
Mo F
2 8
direct
0.000 0.000 0.000
0.444 0.502 0.003
0.155 0.642 0.781
0.168 0.142 0.781
0.255 0.377 0.235
0.315 0.877 0.235
0.598 0.367 0.721
0.692 0.862 0.714
0.738 0.305 0.153
0.789 0.809 0.155
```

Raw total energy (eV per atom): -6.2049
Crystal system: triclinic

First-principles (GGA-PBEsol) data for MoF5 after structural relaxation, as listed in the Alexandria database.

```
MoF5
1.0
-1.799 2.212 4.678
1.799 -2.212 4.678
1.799 2.212 -4.678
Mo F
1 5
direct
0.000 0.000 0.000
0.197 0.197 0.000
0.231 0.500 0.731
0.500 0.000 0.500
0.769 0.500 0.269
0.803 0.803 0.000
```

Crystal system: orthorhombic
Relative energy among the computed polymorphs (kJ/mol of atoms): 37.1
N(E_F) (states/eV/cell): 3.48

First-principles (GGA-PBEsol) data for MoF3 after structural relaxation, as listed in the Alexandria database.

```
MoF3
1.0
4.077 0.000 0.000
0.000 4.077 0.000
0.000 0.000 4.077
Mo F
1 3
direct
0.000 0.000 0.000
0.000 0.000 0.500
0.000 0.500 0.000
0.500 0.000 0.000
```

Crystal system: cubic
Relative energy among the computed polymorphs (kJ/mol of atoms): 5.0
N(E_F) (states/eV/cell): 0.37

First-principles (GGA-PBEsol) data for MoF3 after structural relaxation, as listed in the Alexandria database.

```
MoF3
1.0
2.574 1.486 4.769
-2.574 1.486 4.769
0.000 -2.973 4.769
Mo F
2 6
direct
0.000 0.000 0.000
0.500 0.500 0.500
0.105 0.750 0.395
0.250 0.605 0.895
0.395 0.105 0.750
0.605 0.895 0.250
0.750 0.395 0.105
0.895 0.250 0.605
```

Crystal system: trigonal
Relative energy among the computed polymorphs (kJ/mol of atoms): 0.0

First-principles (GGA-PBEsol) data for MoF6 after structural relaxation, as listed in the Alexandria database.

```
MoF6
1.0
-3.222 3.222 3.222
3.222 -3.222 3.222
3.222 3.222 -3.222
Mo F
1 6
direct
0.000 0.000 0.000
0.000 0.284 0.284
0.000 0.716 0.716
0.284 0.000 0.284
0.284 0.284 0.000
0.716 0.000 0.716
0.716 0.716 0.000
```

Raw total energy (eV per atom): -5.8618
Crystal system: cubic
N(E_F) (states/eV/cell): 0.00